[1]
Here is a relaxed Pu2NpPt crystal from Alexandria via LeMat-Bulk. Energies are from GGA-PBE.

Unit cell a=5.219 b=5.219 c=3.019 alpha=90.00 beta=90.00 gamma=90.00
Element x y z (fractional)
Pu 0.000 0.500 0.000
Pu 0.500 0.000 0.000
Np 0.000 0.000 0.500
Pt 0.500 0.500 0.500

magnetic moment	3.028	μB per atom
energy of formation	-0.107	eV per atom


[2]
Here is a relaxed Th6ZrSe12 crystal from Alexandria via LeMat-Bulk. Energies are from GGA-PBE.

Unit cell a=8.326 b=8.326 c=8.326 alpha=99.35 beta=99.35 gamma=99.35
Element x y z (fractional)
Th 0.132 0.302 0.637
Th 0.302 0.637 0.132
Th 0.363 0.868 0.698
Th 0.637 0.132 0.302
Th 0.698 0.363 0.868
Th 0.868 0.698 0.363
Zr 0.000 0.000 0.000
Se 0.025 0.932 0.678
Se 0.068 0.322 0.975
Se 0.180 0.570 0.430
Se 0.322 0.975 0.068
Se 0.430 0.180 0.570
Se 0.430 0.570 0.820
Se 0.570 0.430 0.180
Se 0.570 0.820 0.430
Se 0.678 0.025 0.932
Se 0.820 0.430 0.570
Se 0.932 0.678 0.025
Se 0.975 0.068 0.322

uncorrected formation energy	-1.57	eV/atom
magnetic moment	0.054	μB per atom


[3]
Here is a relaxed Be3AgCl crystal from Alexandria via LeMat-Bulk. Energies are from GGA-PBE.

Unit cell a=4.136 b=4.136 c=4.136 alpha=90.00 beta=90.00 gamma=90.00
Element x y z (fractional)
Be 0.000 0.000 0.500
Be 0.000 0.500 0.000
Be 0.500 0.000 0.000
Ag 0.500 0.500 0.500
Cl 0.000 0.000 0.000

uncorrected formation energy	1.11	eV/atom
magnetic moment	0.000	μB per atom


[4]
Here is a relaxed CrBiSb3 crystal from Alexandria via LeMat-Bulk. Energies are from GGA-PBE.

Unit cell a=5.807 b=5.807 c=5.807 alpha=90.00 beta=90.00 gamma=90.00
Element x y z (fractional)
Cr 0.000 0.000 0.000
Bi 0.500 0.500 0.500
Sb 0.000 0.500 0.500
Sb 0.500 0.000 0.500
Sb 0.500 0.500 0.000

uncorrected formation energy	1.29	eV/atom
magnetic moment	0.771	μB per atom


[5]
Here is a relaxed Li3Mg3Au2 crystal from Alexandria via LeMat-Bulk. Energies are from GGA-PBE.

Unit cell a=8.019 b=8.019 c=8.019 alpha=33.39 beta=33.39 gamma=33.39
Element x y z (fractional)
Li 0.000 0.000 0.000
Li 0.123 0.123 0.123
Li 0.492 0.492 0.492
Mg 0.371 0.371 0.371
Mg 0.620 0.620 0.620
Mg 0.869 0.869 0.869
Au 0.246 0.246 0.246
Au 0.745 0.745 0.745

magnetic moment	0.000	μB per atom
energy of formation	-0.453	eV per atom


[6]
Here is a relaxed Sc2SiRu crystal from Alexandria via LeMat-Bulk. Energies are from GGA-PBE.

Unit cell a=5.647 b=5.647 c=5.647 alpha=147.62 beta=132.61 gamma=58.56
Element x y z (fractional)
Sc 0.000 0.000 0.000
Sc 0.714 0.214 0.500
Si 0.429 0.429 0.000
Ru 0.238 0.738 0.500

uncorrected formation energy	-0.57	eV/atom
magnetic moment	0.000	μB per atom